Crystalline PmMgAsAu at its relaxed geometry, computed with PBE.

VASP energy: -4.266 eV/atom

abc: 7.1030 7.1030 7.1030
angles: 90.00 90.00 90.00
Last column: nearest neighbours and their distance in Å.
Fractional coordinates of all 16 atoms:
Pm: 0.0000 0.0000 0.0000  4 As 3.08, 4 Au 3.08
Pm: 0.0000 0.5000 0.5000  4 As 3.08, 4 Au 3.08
Pm: 0.5000 0.0000 0.5000  4 As 3.08, 4 Au 3.08
Pm: 0.5000 0.5000 0.0000  4 As 3.08, 4 Au 3.08
Mg: 0.0000 0.0000 0.5000  4 As 3.08, 4 Au 3.08
Mg: 0.0000 0.5000 0.0000  4 As 3.08, 4 Au 3.08
Mg: 0.5000 0.0000 0.0000  4 As 3.08, 4 Au 3.08
Mg: 0.5000 0.5000 0.5000  4 As 3.08, 4 Au 3.08
As: 0.2500 0.2500 0.2500  4 Mg 3.08, 4 Pm 3.08
As: 0.2500 0.7500 0.7500  4 Mg 3.08, 4 Pm 3.08
As: 0.7500 0.2500 0.7500  4 Mg 3.08, 4 Pm 3.08
As: 0.7500 0.7500 0.2500  4 Mg 3.08, 4 Pm 3.08
Au: 0.2500 0.2500 0.7500  4 Mg 3.08, 4 Pm 3.08
Au: 0.2500 0.7500 0.2500  4 Mg 3.08, 4 Pm 3.08
Au: 0.7500 0.2500 0.2500  4 Mg 3.08, 4 Pm 3.08
Au: 0.7500 0.7500 0.7500  4 Mg 3.08, 4 Pm 3.08

=====

Crystalline KZr3Be at its relaxed geometry, computed with PBE.

Excess energy over the best structure of this formula in the dataset: 0.00 eV per formula unit

abc: 4.9917 4.9917 4.9917
angles: 90.00 90.00 90.00
Last column: nearest neighbours and their distance in Å.
Fractional coordinates of all 5 atoms:
K: 0.0000 0.0000 0.0000  12 Zr 3.53
Zr: 0.0000 0.5000 0.5000  2 Be 2.50
Zr: 0.5000 0.0000 0.5000  2 Be 2.50
Zr: 0.5000 0.5000 0.0000  2 Be 2.50
Be: 0.5000 0.5000 0.5000  6 Zr 2.50

=====

Crystalline Zn2CrSnW at its relaxed geometry, computed with PBE.

VASP energy: -4.762 eV/atom

abc: 4.7519 4.7519 4.4370
angles: 90.00 90.00 90.00
Last column: nearest neighbours and their distance in Å.
Fractional coordinates of all 5 atoms:
Zn: 0.0000 0.5000 0.0000  2 Cr 2.38
Zn: 0.5000 0.0000 0.0000  2 Cr 2.38
Cr: 0.0000 0.0000 0.0000  2 W 2.22, 4 Zn 2.38
Sn: 0.5000 0.5000 0.5000  8 Zn 3.25, 4 W 3.36
W: 0.0000 0.0000 0.5000  2 Cr 2.22

=====

no.,calculated volume (Å³ per cell)
1,358.4
2,124.4
3,100.2